Entry 1:
A plane-wave DFT calculation with PBE was carried out for an optimized crystal structure of TlHPb.

```
data_TlHPb
_chemical_formula_sum 'Tl4 H4 Pb4'
_space_group_name_H-M_alt 'P 1'
_space_group_IT_number 1
_space_group_name_Hall 'P 1'
_cell_length_a 7.057
_cell_length_b 5.617
_cell_length_c 7.753
_cell_angle_alpha 90.00
_cell_angle_beta 90.00
_cell_angle_gamma 90.00
loop_
_atom_site_label
_atom_site_fract_x
_atom_site_fract_y
_atom_site_fract_z
_atom_site_occupancy
Pb1 0.376 0.250 0.486 1
Pb2 0.124 0.750 0.986 1
Pb3 0.624 0.750 0.514 1
Pb4 0.876 0.250 0.014 1
H1 0.870 0.250 0.764 1
H2 0.630 0.750 0.264 1
H3 0.130 0.750 0.236 1
H4 0.370 0.250 0.736 1
Tl1 0.876 0.250 0.490 1
Tl2 0.624 0.750 0.990 1
Tl3 0.124 0.750 0.510 1
Tl4 0.376 0.250 0.010 1
```

Output
The calculation puts the density of states at the Fermi level at 0.26 states/eV per atom. Its energy above the most stable polymorph in this dataset is 0 meV per atom. The space-group type is Pnma. Its calculated density is 8.9 g/cm³. The value obtained for the volume is 307.3 Å³/cell.

***

Entry 2:
A plane-wave DFT calculation with PBE was carried out for an optimized crystal structure of TlH2Pb.

```
data_TlH2Pb
_chemical_formula_sum 'Tl2 H4 Pb2'
_space_group_name_H-M_alt 'P 1'
_space_group_IT_number 1
_space_group_name_Hall 'P 1'
_cell_length_a 5.157
_cell_length_b 5.157
_cell_length_c 7.135
_cell_angle_alpha 68.81
_cell_angle_beta 68.81
_cell_angle_gamma 90.00
loop_
_atom_site_label
_atom_site_fract_x
_atom_site_fract_y
_atom_site_fract_z
_atom_site_occupancy
Pb1 0.000 0.000 0.000 1
Pb2 0.750 0.250 0.500 1
H1 0.731 0.125 0.250 1
H2 0.019 0.625 0.250 1
H3 0.375 0.269 0.750 1
H4 0.875 0.981 0.750 1
Tl1 0.500 0.500 0.000 1
Tl2 0.250 0.750 0.500 1
```

Output
The calculation puts the density of states at the Fermi level at 0.23 states/eV per atom. Its energy above the most stable polymorph in this dataset is 26 meV per atom. The space-group type is I-42d. Its calculated density is 8.4 g/cm³. The value obtained for the volume is 163.1 Å³/cell.